1.
DFT (PBE-GGA) results for a relaxed structure of SrLaPr2.

Cell: 6.082 6.082 6.082 Å, 60.00 60.00 60.00°
Element x y z (fractional)
1 Sr 0.000 0.000 0.000
2 La 0.500 0.500 0.500
3 Pr 0.250 0.250 0.250
4 Pr 0.750 0.750 0.750

Computed properties:
Formation enthalpy at 0 K in eV/atom: 0.199
Volume in Å³ per cell: 159
Symmetry: No. 225
Total magnetization in μB per atom: 0.3035

=====

2.
DFT (PBE-GGA) results for a relaxed structure of PtI4O2.

Cell: 5.001 5.001 14.600 Å, 90.00 90.00 90.00°
Element x y z (fractional)
1 Pt 0.000 0.000 0.000
2 Pt 0.500 0.500 0.500
3 I 0.233 0.233 0.364
4 I 0.233 0.233 0.636
5 I 0.267 0.733 0.136
6 I 0.267 0.733 0.864
7 I 0.733 0.267 0.136
8 I 0.733 0.267 0.864
9 I 0.767 0.767 0.364
10 I 0.767 0.767 0.636
11 O 0.231 0.769 0.500
12 O 0.269 0.269 0.000
13 O 0.731 0.731 0.000
14 O 0.769 0.231 0.500

Computed properties:
Raw formation energy in eV/atom: 0.257
Volume in Å³ per cell: 365
Symmetry: No. 136
Total magnetization in μB per atom: 0.0844

=====

3.
DFT (PBE-GGA) results for a relaxed structure of DyTmAlPt.

Cell: 4.993 4.993 4.993 Å, 60.00 60.00 60.00°
Element x y z (fractional)
1 Dy 0.000 0.000 0.000
2 Tm 0.500 0.500 0.500
3 Al 0.250 0.250 0.250
4 Pt 0.750 0.750 0.750

Computed properties:
Formation enthalpy at 0 K in eV/atom: -0.758
Volume in Å³ per cell: 88
Symmetry: No. 216
Total magnetization in μB per atom: 0.0000

=====

4.
DFT (PBE-GGA) results for a relaxed structure of DyZr2UC4.

Cell: 5.934 3.430 5.985 Å, 90.00 108.83 90.00°
Element x y z (fractional)
1 Dy 0.000 0.000 0.000
2 Zr 0.000 0.500 0.500
3 Zr 0.500 0.000 0.500
4 U 0.500 0.500 0.000
5 C 0.258 0.000 0.743
6 C 0.272 0.500 0.254
7 C 0.728 0.500 0.746
8 C 0.742 0.000 0.257

Computed properties:
Formation enthalpy at 0 K in eV/atom: -0.502
Volume in Å³ per cell: 115
Symmetry: No. 10
Total magnetization in μB per atom: 0.0000

=====

5.
DFT (PBE-GGA) results for a relaxed structure of CsNa2Ge17.

Cell: 11.183 11.183 11.183 Å, 60.00 60.00 60.00°
Element x y z (fractional)
1 Cs 0.125 0.125 0.125
2 Cs 0.875 0.875 0.875
3 Na 0.000 0.500 0.500
4 Na 0.500 0.000 0.500
5 Na 0.500 0.500 0.000
6 Na 0.500 0.500 0.500
7 Ge 0.130 0.130 0.505
8 Ge 0.130 0.130 0.735
9 Ge 0.130 0.505 0.130
10 Ge 0.130 0.505 0.735
11 Ge 0.130 0.735 0.130
12 Ge 0.130 0.735 0.505
13 Ge 0.265 0.495 0.870
14 Ge 0.265 0.870 0.495
15 Ge 0.265 0.870 0.870
16 Ge 0.283 0.283 0.283
17 Ge 0.283 0.283 0.652
18 Ge 0.283 0.652 0.283
19 Ge 0.348 0.717 0.717
20 Ge 0.375 0.375 0.375
21 Ge 0.495 0.265 0.870
22 Ge 0.495 0.870 0.265
23 Ge 0.495 0.870 0.870
24 Ge 0.505 0.130 0.130
25 Ge 0.505 0.130 0.735
26 Ge 0.505 0.735 0.130
27 Ge 0.625 0.625 0.625
28 Ge 0.652 0.283 0.283
29 Ge 0.717 0.348 0.717
30 Ge 0.717 0.717 0.348
31 Ge 0.717 0.717 0.717
32 Ge 0.735 0.130 0.130
33 Ge 0.735 0.130 0.505
34 Ge 0.735 0.505 0.130
35 Ge 0.870 0.265 0.495
36 Ge 0.870 0.265 0.870
37 Ge 0.870 0.495 0.265
38 Ge 0.870 0.495 0.870
39 Ge 0.870 0.870 0.265
40 Ge 0.870 0.870 0.495

Computed properties:
Formation enthalpy at 0 K in eV/atom: -0.085
Volume in Å³ per cell: 989
Symmetry: No. 227
Total magnetization in μB per atom: 0.0000

=====

6.
DFT (PBE-GGA) results for a relaxed structure of Fe2TcPt.

Cell: 4.282 4.282 4.282 Å, 60.00 60.00 60.00°
Element x y z (fractional)
1 Fe 0.000 0.000 0.000
2 Fe 0.250 0.250 0.250
3 Tc 0.750 0.750 0.750
4 Pt 0.500 0.500 0.500

Computed properties:
Formation enthalpy at 0 K in eV/atom: 0.176
Volume in Å³ per cell: 56
Symmetry: No. 216
Total magnetization in μB per atom: 1.1726

=====

7.
DFT (PBE-GGA) results for a relaxed structure of VCrIrRh.

Cell: 3.672 3.837 3.846 Å, 90.00 90.00 90.00°
Element x y z (fractional)
1 V 0.000 0.000 0.000
2 Cr 0.000 0.500 0.500
3 Ir 0.500 0.000 0.500
4 Rh 0.500 0.500 0.000

Computed properties:
Formation enthalpy at 0 K in eV/atom: -0.292
Volume in Å³ per cell: 54
Symmetry: No. 47
Total magnetization in μB per atom: 0.2894

=====

8.
DFT (PBE-GGA) results for a relaxed structure of LaHPt2Rh.

Cell: 4.182 4.182 4.370 Å, 90.00 90.00 90.00°
Element x y z (fractional)
1 La 0.000 0.000 0.000
2 H 0.500 0.500 0.500
3 Pt 0.000 0.500 0.500
4 Pt 0.500 0.000 0.500
5 Rh 0.500 0.500 0.000

Computed properties:
Volume in Å³ per cell: 76
Total energy in eV per formula unit: -30.6
Symmetry: No. 123
Total magnetization in μB per atom: 0.0000

=====

9.
DFT (PBE-GGA) results for a relaxed structure of Li2B2AsO6.

Cell: 4.826 4.826 5.945 Å, 90.00 90.00 120.00°
Element x y z (fractional)
1 Li 0.333 0.667 0.298
2 Li 0.667 0.333 0.702
3 B 0.333 0.667 0.806
4 B 0.667 0.333 0.194
5 As 0.000 0.000 0.000
6 O 0.063 0.698 0.797
7 O 0.302 0.365 0.797
8 O 0.365 0.063 0.203
9 O 0.635 0.937 0.797
10 O 0.698 0.635 0.203
11 O 0.937 0.302 0.203

Computed properties:
Raw formation energy in eV/atom: -1.882
Volume in Å³ per cell: 120
Symmetry: No. 147
Total magnetization in μB per atom: 0.0509

=====

10.
DFT (PBE-GGA) results for a relaxed structure of NbGaAsH2.

Cell: 3.727 3.727 5.263 Å, 90.00 90.00 90.00°
Element x y z (fractional)
1 Nb 0.000 0.000 0.000
2 Ga 0.000 0.000 0.500
3 As 0.500 0.500 0.500
4 H 0.000 0.500 0.000
5 H 0.500 0.000 0.000

Computed properties:
Volume in Å³ per cell: 73
Total energy in eV per formula unit: -22.4
Symmetry: No. 123
Total magnetization in μB per atom: 0.0000

=====

11.
DFT (PBE-GGA) results for a relaxed structure of ScZn2As.

Cell: 8.347 8.347 8.347 Å, 22.89 22.89 22.89°
Element x y z (fractional)
1 Sc 0.000 0.000 0.000
2 Zn 0.243 0.243 0.243
3 Zn 0.499 0.499 0.499
4 As 0.750 0.750 0.750

Computed properties:
Formation enthalpy at 0 K in eV/atom: -0.091
Volume in Å³ per cell: 77
Symmetry: No. 160
Total magnetization in μB per atom: 0.0000

=====

12.
DFT (PBE-GGA) results for a relaxed structure of NbCoNi3.

Cell: 4.659 4.659 4.659 Å, 59.69 59.69 59.69°
Element x y z (fractional)
1 Nb 0.000 0.000 0.000
2 Co 0.627 0.627 0.627
3 Ni 0.130 0.627 0.627
4 Ni 0.627 0.130 0.627
5 Ni 0.627 0.627 0.130

Computed properties:
Formation enthalpy at 0 K in eV/atom: 0.185
Volume in Å³ per cell: 71
Symmetry: No. 160
Total magnetization in μB per atom: 0.0009

=====

13.
DFT (PBE-GGA) results for a relaxed structure of UAgPdS3.

Cell: 8.123 3.688 8.230 Å, 90.00 103.43 90.00°
Element x y z (fractional)
1 U 0.176 0.250 0.226
2 U 0.824 0.750 0.774
3 Ag 0.389 0.750 0.793
4 Ag 0.611 0.250 0.207
5 Pd 0.121 0.250 0.600
6 Pd 0.879 0.750 0.400
7 S 0.066 0.250 0.870
8 S 0.255 0.750 0.474
9 S 0.369 0.750 0.117
10 S 0.631 0.250 0.883
11 S 0.745 0.250 0.526
12 S 0.934 0.750 0.130

Computed properties:
Raw formation energy in eV/atom: -0.738
Volume in Å³ per cell: 240
Symmetry: No. 11
Total magnetization in μB per atom: 0.1656

=====

14.
DFT (PBE-GGA) results for a relaxed structure of Y3GaIr2.

Cell: 11.747 3.973 11.824 Å, 90.00 90.00 90.00°
Element x y z (fractional)
1 Y 0.051 0.250 0.122
2 Y 0.132 0.750 0.571
3 Y 0.199 0.250 0.821
4 Y 0.301 0.750 0.321
5 Y 0.368 0.250 0.071
6 Y 0.449 0.750 0.622
7 Y 0.551 0.250 0.378
8 Y 0.632 0.750 0.929
9 Y 0.699 0.250 0.679
10 Y 0.801 0.750 0.179
11 Y 0.868 0.250 0.429
12 Y 0.949 0.750 0.878
13 Ga 0.122 0.250 0.372
14 Ga 0.378 0.750 0.872
15 Ga 0.622 0.250 0.128
16 Ga 0.878 0.750 0.628
17 Ir 0.008 0.750 0.310
18 Ir 0.189 0.750 0.991
19 Ir 0.311 0.250 0.491
20 Ir 0.492 0.250 0.810
21 Ir 0.508 0.750 0.190
22 Ir 0.689 0.750 0.509
23 Ir 0.811 0.250 0.009
24 Ir 0.992 0.250 0.690

Computed properties:
Formation enthalpy at 0 K in eV/atom: -0.747
Volume in Å³ per cell: 552
Symmetry: No. 62
Total magnetization in μB per atom: 0.0000

=====

15.
DFT (PBE-GGA) results for a relaxed structure of Pm2BeGaAu6.

Cell: 6.284 6.386 6.950 Å, 63.09 64.87 61.51°
Element x y z (fractional)
1 Pm 0.240 0.207 0.328
2 Pm 0.760 0.793 0.672
3 Be 0.000 0.000 0.000
4 Ga 0.500 0.500 0.500
5 Au 0.206 0.273 0.822
6 Au 0.225 0.755 0.771
7 Au 0.334 0.739 0.148
8 Au 0.666 0.261 0.852
9 Au 0.775 0.245 0.229
10 Au 0.794 0.727 0.178

Computed properties:
Formation enthalpy at 0 K in eV/atom: -0.467
Volume in Å³ per cell: 211
Symmetry: No. 2
Total magnetization in μB per atom: 0.0000

=====

16.
DFT (PBE-GGA) results for a relaxed structure of InWIN2.

Cell: 4.191 4.191 7.349 Å, 90.00 90.00 90.00°
Element x y z (fractional)
1 In 0.000 0.000 0.000
2 W 0.500 0.500 0.500
3 I 0.000 0.000 0.500
4 N 0.000 0.500 0.000
5 N 0.500 0.000 0.000

Computed properties:
Raw formation energy in eV/atom: 2.324
Volume in Å³ per cell: 129
Symmetry: No. 123
Total magnetization in μB per atom: 1.4477

=====

17.
DFT (PBE-GGA) results for a relaxed structure of DyY3Th2As6.

Cell: 9.318 9.318 8.324 Å, 102.78 102.78 25.92°
Element x y z (fractional)
1 Dy 0.000 0.000 0.000
2 Y 0.000 0.000 0.500
3 Y 0.334 0.334 0.166
4 Y 0.666 0.666 0.834
5 Th 0.335 0.335 0.670
6 Th 0.665 0.665 0.330
7 As 0.165 0.165 0.587
8 As 0.166 0.166 0.078
9 As 0.498 0.498 0.249
10 As 0.502 0.502 0.751
11 As 0.834 0.834 0.922
12 As 0.835 0.835 0.413

Computed properties:
Formation enthalpy at 0 K in eV/atom: -1.509
Volume in Å³ per cell: 308
Symmetry: No. 12
Total magnetization in μB per atom: 0.0000

=====

18.
DFT (PBE-GGA) results for a relaxed structure of NiAgMo2.

Cell: 9.503 9.503 9.503 Å, 16.53 16.53 16.53°
Element x y z (fractional)
1 Ni 0.000 0.000 0.000
2 Ag 0.500 0.500 0.500
3 Mo 0.257 0.257 0.257
4 Mo 0.743 0.743 0.743

Computed properties:
Formation enthalpy at 0 K in eV/atom: 0.371
Volume in Å³ per cell: 61
Symmetry: No. 166
Total magnetization in μB per atom: 0.0000

=====

19.
DFT (PBE-GGA) results for a relaxed structure of EuNiPb.

Cell: 4.599 4.599 4.055 Å, 90.00 90.00 120.00°
Element x y z (fractional)
1 Eu 0.000 0.000 0.000
2 Ni 0.333 0.667 0.500
3 Pb 0.667 0.333 0.500

Computed properties:
Formation enthalpy at 0 K in eV/atom: -0.252
Volume in Å³ per cell: 74
Symmetry: No. 187
Total magnetization in μB per atom: 2.3090

=====

20.
DFT (PBE-GGA) results for a relaxed structure of Dy4Te3S4.

Cell: 9.135 9.135 9.135 Å, 154.19 125.06 61.66°
Element x y z (fractional)
1 Dy 0.232 0.232 0.000
2 Dy 0.275 0.500 0.775
3 Dy 0.725 0.500 0.225
4 Dy 0.768 0.768 0.000
5 Te 0.000 0.000 0.000
6 Te 0.394 0.894 0.500
7 Te 0.606 0.106 0.500
8 S 0.025 0.330 0.695
9 S 0.365 0.670 0.695
10 S 0.635 0.330 0.305
11 S 0.975 0.670 0.305

Computed properties:
Raw formation energy in eV/atom: -1.465
Volume in Å³ per cell: 270
Symmetry: No. 71
Total magnetization in μB per atom: 0.0000